No. 1
Computed, not measured: a relaxed CdPt crystal at the PBE-GGA level of DFT.

The structure in CIF format:
```
data_CdPt
_symmetry_space_group_name_H-M 'F d d d'
_symmetry_Int_Tables_number 70
_cell_length_a 4.773
_cell_length_b 8.568
_cell_length_c 15.056
_cell_angle_alpha 90.00
_cell_angle_beta 90.00
_cell_angle_gamma 90.00
loop_
_symmetry_equiv_pos_as_xyz
'x,y,z'
'-x,-y,-z'
'-x+1/4,-y+1/4,z'
'x+1/4,y+1/4,-z'
'x,-y+1/4,-z+1/4'
'-x,y+1/4,z+1/4'
'-x+1/4,y,-z+1/4'
'x+1/4,-y,z+1/4'
'x,y+1/2,z+1/2'
'-x,-y+1/2,-z+1/2'
'-x+1/4,-y+3/4,z+1/2'
'x+1/4,y+3/4,-z+1/2'
'x,-y+3/4,-z+3/4'
'-x,y+3/4,z+3/4'
'-x+1/4,y+1/2,-z+3/4'
'x+1/4,-y+1/2,z+3/4'
'x+1/2,y,z+1/2'
'-x+1/2,-y,-z+1/2'
'-x+3/4,-y+1/4,z+1/2'
'x+3/4,y+1/4,-z+1/2'
'x+1/2,-y+1/4,-z+3/4'
'-x+1/2,y+1/4,z+3/4'
'-x+3/4,y,-z+3/4'
'x+3/4,-y,z+3/4'
'x+1/2,y+1/2,z'
'-x+1/2,-y+1/2,-z'
'-x+3/4,-y+3/4,z'
'x+3/4,y+3/4,-z'
'x+1/2,-y+3/4,-z+1/4'
'-x+1/2,y+3/4,z+1/4'
'-x+3/4,y+1/2,-z+1/4'
'x+3/4,-y+1/2,z+1/4'
loop_
_atom_site_label
_atom_site_type_symbol
_atom_site_fract_x
_atom_site_fract_y
_atom_site_fract_z
_atom_site_occupancy
Cd1 Cd 0.125 0.288 0.125 1
Pt1 Pt 0.125 0.125 0.538 1
```

Values from the calculation:
DFT formation energy = -0.126 eV/atom
Crystal system = orthorhombic


No. 2
Computed, not measured: a relaxed YTiCuOs2 crystal at the PBE-GGA level of DFT.

The structure in CIF format:
```
data_YTiCuOs2
_symmetry_space_group_name_H-M 'P 4/m m m'
_symmetry_Int_Tables_number 123
_symmetry_space_group_name_Hall '-P 4 2'
_cell_length_a 4.859
_cell_length_b 4.859
_cell_length_c 4.624
_cell_angle_alpha 90.00
_cell_angle_beta 90.00
_cell_angle_gamma 90.00
loop_
_atom_site_label
_atom_site_type_symbol
_atom_site_fract_x
_atom_site_fract_y
_atom_site_fract_z
_atom_site_occupancy
Y1 Y 0.000 0.000 0.000 1
Ti1 Ti 0.500 0.500 0.500 1
Cu1 Cu 0.000 0.000 0.500 1
Os1 Os 0.000 0.500 0.000 1
```

Values from the calculation:
DFT formation energy = 2.116 eV/atom
Crystal system = tetragonal


No. 3
Computed, not measured: a relaxed KEr2ReO8 crystal at the PBE-GGA level of DFT.

The structure in CIF format:
```
data_KEr2ReO8
_symmetry_space_group_name_H-M 'P -1'
_symmetry_Int_Tables_number 2
_cell_length_a 4.659
_cell_length_b 4.813
_cell_length_c 7.632
_cell_angle_alpha 92.83
_cell_angle_beta 95.22
_cell_angle_gamma 93.04
loop_
_symmetry_equiv_pos_as_xyz
'x,y,z'
'-x,-y,-z'
loop_
_atom_site_label
_atom_site_type_symbol
_atom_site_fract_x
_atom_site_fract_y
_atom_site_fract_z
_atom_site_occupancy
K1 K 0.000 0.000 0.000 1
Er1 Er 0.448 0.467 0.717 1
Re1 Re 0.000 0.000 0.500 1
O1 O 0.132 0.751 0.329 1
O2 O 0.252 0.879 0.689 1
O3 O 0.287 0.277 0.455 1
O4 O 0.338 0.470 0.001 1
```

Values from the calculation:
Formation energy without anion corrections = -2244 meV per atom
Crystal system = triclinic


Listing DFT total energy for the structures above in their given order: -7.207 -30.336 -89.261 eV/f.u..
Listing total moment for the structures above in their given order: 0.0 0.0 0.1 μB/f.u..